(1)
Density functional theory data (GGA-PBE) for a relaxed K2InGe3Au4 crystal.

Summary:
For the total magnetic moment, the calculation gives 0.0 Bohr magnetons per cell. The space group is P-4m2, No. 115.

a = 4.7825 Å, b = 4.7825 Å, c = 10.4619 Å
α = 90.00°, β = 90.00°, γ = 90.00°
Fractional positions:
Au: 0.5000 0.0000 0.6380
Au: 0.0000 0.5000 0.3620
Au: 0.0000 0.0000 0.0000
Au: 0.5000 0.5000 0.0000
K: 0.5000 0.0000 0.2440
K: 0.0000 0.5000 0.7560
Ge: 0.5000 0.0000 0.8880
Ge: 0.0000 0.0000 0.5000
Ge: 0.0000 0.5000 0.1120
In: 0.5000 0.5000 0.5000

***

(2)
Density functional theory data (GGA-PBE) for a relaxed K2InGeAu6 crystal.

Summary:
For the total magnetic moment, the calculation gives 0.0 Bohr magnetons per cell. The space group is P-1, No. 2.

a = 7.3234 Å, b = 7.0680 Å, c = 7.3398 Å
α = 61.43°, β = 57.66°, γ = 89.93°
Fractional positions:
In: 0.0000 0.0000 0.0000
K: 0.2938 0.7060 0.5879
K: 0.7062 0.2940 0.4120
Ge: 0.5000 0.5000 0.0000
Au: 0.8498 0.7443 0.5133
Au: 0.2546 0.7412 0.1117
Au: 0.1502 0.2557 0.4867
Au: 0.7438 0.8521 0.8912
Au: 0.2562 0.1479 0.1088
Au: 0.7454 0.2588 0.8883

***

Number 1: VASP energy -3.40 eV per atom, formation energy -212 meV/atom, density 8.3 Mg/m³. Number 2: VASP energy -3.15 eV per atom, formation energy -224 meV/atom, density 9.1 Mg/m³.